[1]
# CaTbDy2 PBE-GGA optimized geometry
# crystal system: trigonal
# formation energy: 0.157 eV/atom
data_CaTbDy2
_symmetry_space_group_name_H-M 'R -3 m'
_symmetry_Int_Tables_number 166
_symmetry_space_group_name_Hall '-R 3 2"'
_cell_length_a 3.5461
_cell_length_b 3.5461
_cell_length_c 37.6515
_cell_angle_alpha 90.00
_cell_angle_beta 90.00
_cell_angle_gamma 120.00
loop_
_atom_site_label
_atom_site_type_symbol
_atom_site_fract_x
_atom_site_fract_y
_atom_site_fract_z
Ca1 Ca 0.0000 0.0000 0.0000
Tb1 Tb 0.0000 0.0000 0.5000
Dy1 Dy 0.0000 0.0000 0.0913

[2]
# CaTb6Dy5 PBE-GGA optimized geometry
# crystal system: monoclinic
# formation energy: 0.043 eV/atom
data_CaTb6Dy5
_symmetry_space_group_name_H-M 'C 1 2/m 1'
_symmetry_Int_Tables_number 12
_cell_length_a 11.840
_cell_length_b 10.737
_cell_length_c 6.189
_cell_angle_alpha 90.00
_cell_angle_beta 100.02
_cell_angle_gamma 90.00
loop_
_symmetry_equiv_pos_as_xyz
'x,y,z'
'-x,-y,-z'
'-x,y,-z'
'x,-y,z'
'x+1/2,y+1/2,z'
'-x+1/2,-y+1/2,-z'
'-x+1/2,y+1/2,-z'
'x+1/2,-y+1/2,z'
loop_
_atom_site_label
_atom_site_type_symbol
_atom_site_fract_x
_atom_site_fract_y
_atom_site_fract_z
Ca1 Ca 0.000 0.000 0.000
Tb1 Tb 0.246 0.330 0.748
Tb2 Tb 0.248 0.500 0.260
Dy1 Dy 0.000 0.171 0.500
Dy2 Dy 0.000 0.339 0.000
Dy3 Dy 0.000 0.500 0.500

[3]
# CaTb2Dy PBE-GGA optimized geometry
# crystal system: tetragonal
# formation energy: 0.129 eV/atom
data_CaTb2Dy
_symmetry_space_group_name_H-M 'P 4/m m m'
_symmetry_Int_Tables_number 123
_symmetry_space_group_name_Hall '-P 4 2'
_cell_length_a 5.112
_cell_length_b 5.112
_cell_length_c 5.098
_cell_angle_alpha 90.00
_cell_angle_beta 90.00
_cell_angle_gamma 90.00
loop_
_atom_site_label
_atom_site_type_symbol
_atom_site_fract_x
_atom_site_fract_y
_atom_site_fract_z
Ca1 Ca 0.000 0.000 0.000
Tb1 Tb 0.000 0.500 0.500
Dy1 Dy 0.500 0.500 0.000

[4]
# CaTb2Dy4 PBE-GGA optimized geometry
# crystal system: trigonal
# formation energy: 0.047 eV/atom
data_CaTb2Dy4
_symmetry_space_group_name_H-M 'R -3 m'
_symmetry_Int_Tables_number 166
_symmetry_space_group_name_Hall '-R 3 2"'
_cell_length_a 3.5697
_cell_length_b 3.5697
_cell_length_c 62.2715
_cell_angle_alpha 90.00
_cell_angle_beta 90.00
_cell_angle_gamma 120.00
loop_
_atom_site_label
_atom_site_type_symbol
_atom_site_fract_x
_atom_site_fract_y
_atom_site_fract_z
Ca1 Ca 0.0000 0.0000 0.0000
Tb1 Tb 0.0000 0.0000 0.4303
Dy1 Dy 0.0000 0.0000 0.1436
Dy2 Dy 0.0000 0.0000 0.2818

[5]
# CaTb2Dy PBE-GGA optimized geometry
# crystal system: trigonal
# formation energy: 0.153 eV/atom
data_CaTb2Dy
_symmetry_space_group_name_H-M 'R -3 m'
_symmetry_Int_Tables_number 166
_symmetry_space_group_name_Hall '-R 3 2"'
_cell_length_a 3.5485
_cell_length_b 3.5485
_cell_length_c 37.7567
_cell_angle_alpha 90.00
_cell_angle_beta 90.00
_cell_angle_gamma 120.00
loop_
_atom_site_label
_atom_site_type_symbol
_atom_site_fract_x
_atom_site_fract_y
_atom_site_fract_z
Ca1 Ca 0.0000 0.0000 0.0000
Tb1 Tb 0.0000 0.0000 0.0915
Dy1 Dy 0.0000 0.0000 0.5000

[6]
# CaTb6Dy2 PBE-GGA optimized geometry
# crystal system: triclinic
# formation energy: 0.086 eV/atom
data_CaTb6Dy2
_symmetry_space_group_name_H-M 'P -1'
_symmetry_Int_Tables_number 2
_cell_length_a 6.472
_cell_length_b 8.478
_cell_length_c 11.766
_cell_angle_alpha 82.17
_cell_angle_beta 76.94
_cell_angle_gamma 70.28
loop_
_symmetry_equiv_pos_as_xyz
'x,y,z'
'-x,-y,-z'
loop_
_atom_site_label
_atom_site_type_symbol
_atom_site_fract_x
_atom_site_fract_y
_atom_site_fract_z
Ca1 Ca 0.012 0.060 0.141
Tb1 Tb 0.059 0.601 0.105
Tb2 Tb 0.132 0.708 0.359
Tb3 Tb 0.284 0.894 0.553
Tb4 Tb 0.404 0.549 0.824
Tb5 Tb 0.438 0.113 0.748
Tb6 Tb 0.468 0.209 0.019
Dy1 Dy 0.207 0.267 0.344
Dy2 Dy 0.299 0.458 0.587

[7]
# CaTb9Dy2 PBE-GGA optimized geometry
# crystal system: tetragonal
# formation energy: 0.049 eV/atom
data_CaTb9Dy2
_symmetry_space_group_name_H-M 'P 4/m m m'
_symmetry_Int_Tables_number 123
_symmetry_space_group_name_Hall '-P 4 2'
_cell_length_a 5.060
_cell_length_b 5.060
_cell_length_c 15.177
_cell_angle_alpha 90.00
_cell_angle_beta 90.00
_cell_angle_gamma 90.00
loop_
_atom_site_label
_atom_site_type_symbol
_atom_site_fract_x
_atom_site_fract_y
_atom_site_fract_z
Ca1 Ca 0.000 0.000 0.000
Tb1 Tb 0.000 0.500 0.173
Tb2 Tb 0.000 0.500 0.500
Tb3 Tb 0.500 0.500 0.000
Tb4 Tb 0.500 0.500 0.334
Dy1 Dy 0.000 0.000 0.334

[8]
# Ca3Tb2DyTe6 PBE-GGA optimized geometry
# crystal system: monoclinic
# formation energy from raw total energies: -1.462 eV/atom
data_Ca3Tb2DyTe6
_symmetry_space_group_name_H-M 'C 1 2/m 1'
_symmetry_Int_Tables_number 12
_cell_length_a 7.616
_cell_length_b 13.179
_cell_length_c 7.769
_cell_angle_alpha 90.00
_cell_angle_beta 109.08
_cell_angle_gamma 90.00
loop_
_symmetry_equiv_pos_as_xyz
'x,y,z'
'-x,-y,-z'
'-x,y,-z'
'x,-y,z'
'x+1/2,y+1/2,z'
'-x+1/2,-y+1/2,-z'
'-x+1/2,y+1/2,-z'
'x+1/2,-y+1/2,z'
loop_
_atom_site_label
_atom_site_type_symbol
_atom_site_fract_x
_atom_site_fract_y
_atom_site_fract_z
Ca1 Ca 0.000 0.000 0.000
Ca2 Ca 0.000 0.333 0.000
Tb1 Tb 0.000 0.166 0.500
Dy1 Dy 0.000 0.500 0.500
Te1 Te 0.248 0.334 0.746
Te2 Te 0.250 0.000 0.746

[9]
# Ca3TbDy3Te8 PBE-GGA optimized geometry
# crystal system: trigonal
# formation energy from raw total energies: -1.485 eV/atom
data_Ca3TbDy3Te8
_symmetry_space_group_name_H-M 'R -3 m'
_symmetry_Int_Tables_number 166
_symmetry_space_group_name_Hall '-R 3 2"'
_cell_length_a 8.7548
_cell_length_b 8.7548
_cell_length_c 21.9951
_cell_angle_alpha 90.00
_cell_angle_beta 90.00
_cell_angle_gamma 120.00
loop_
_atom_site_label
_atom_site_type_symbol
_atom_site_fract_x
_atom_site_fract_y
_atom_site_fract_z
Ca1 Ca 0.0000 0.5000 0.0000
Tb1 Tb 0.0000 0.0000 0.5000
Dy1 Dy 0.0000 0.5000 0.5000
Te1 Te 0.0000 0.0000 0.2482
Te2 Te 0.0052 0.5026 0.7514

[10]
# CaTb2Dy3Te6 PBE-GGA optimized geometry
# crystal system: monoclinic
# formation energy from raw total energies: -1.349 eV/atom
data_CaTb2Dy3Te6
_symmetry_space_group_name_H-M 'C 1 2/m 1'
_symmetry_Int_Tables_number 12
_cell_length_a 19.109
_cell_length_b 4.377
_cell_length_c 8.780
_cell_angle_alpha 90.00
_cell_angle_beta 103.50
_cell_angle_gamma 90.00
loop_
_symmetry_equiv_pos_as_xyz
'x,y,z'
'-x,-y,-z'
'-x,y,-z'
'x,-y,z'
'x+1/2,y+1/2,z'
'-x+1/2,-y+1/2,-z'
'-x+1/2,y+1/2,-z'
'x+1/2,-y+1/2,z'
loop_
_atom_site_label
_atom_site_type_symbol
_atom_site_fract_x
_atom_site_fract_y
_atom_site_fract_z
Ca1 Ca 0.000 0.000 0.000
Tb1 Tb 0.172 0.500 0.343
Dy1 Dy 0.000 0.000 0.500
Dy2 Dy 0.167 0.500 0.825
Te1 Te 0.002 0.500 0.252
Te2 Te 0.164 0.000 0.583
Te3 Te 0.167 0.000 0.081

[11]
# CaTbDy2Te4 PBE-GGA optimized geometry
# crystal system: monoclinic
# formation energy from raw total energies: -1.369 eV/atom
data_CaTbDy2Te4
_symmetry_space_group_name_H-M 'P 1 2/m 1'
_symmetry_Int_Tables_number 10
_cell_length_a 7.606
_cell_length_b 4.364
_cell_length_c 7.619
_cell_angle_alpha 90.00
_cell_angle_beta 109.07
_cell_angle_gamma 90.00
loop_
_symmetry_equiv_pos_as_xyz
'x,y,z'
'-x,-y,-z'
'-x,y,-z'
'x,-y,z'
loop_
_atom_site_label
_atom_site_type_symbol
_atom_site_fract_x
_atom_site_fract_y
_atom_site_fract_z
Ca1 Ca 0.000 0.000 0.000
Tb1 Tb 0.000 0.500 0.500
Dy1 Dy 0.500 0.000 0.500
Dy2 Dy 0.500 0.500 0.000
Te1 Te 0.252 0.000 0.750
Te2 Te 0.253 0.500 0.252

[12]
# CaTb3Dy2Te6 PBE-GGA optimized geometry
# crystal system: monoclinic
# formation energy from raw total energies: -1.352 eV/atom
data_CaTb3Dy2Te6
_symmetry_space_group_name_H-M 'C 1 2/m 1'
_symmetry_Int_Tables_number 12
_cell_length_a 19.124
_cell_length_b 4.378
_cell_length_c 8.789
_cell_angle_alpha 90.00
_cell_angle_beta 103.57
_cell_angle_gamma 90.00
loop_
_symmetry_equiv_pos_as_xyz
'x,y,z'
'-x,-y,-z'
'-x,y,-z'
'x,-y,z'
'x+1/2,y+1/2,z'
'-x+1/2,-y+1/2,-z'
'-x+1/2,y+1/2,-z'
'x+1/2,-y+1/2,z'
loop_
_atom_site_label
_atom_site_type_symbol
_atom_site_fract_x
_atom_site_fract_y
_atom_site_fract_z
Ca1 Ca 0.000 0.000 0.000
Tb1 Tb 0.000 0.000 0.500
Tb2 Tb 0.166 0.500 0.824
Dy1 Dy 0.171 0.500 0.342
Te1 Te 0.002 0.500 0.252
Te2 Te 0.165 0.000 0.581
Te3 Te 0.167 0.000 0.083

Respective magnetic moment values: 0.000; 0.000; 0.000; 0.000; 0.000; 0.000; 0.000; 0.000; 0.000; 0.000; 0.000; 0.000 μB/atom.